[1]
Compound: Cs2Si2Tc
Source: Alexandria via LeMat-Bulk
Functional: PBE-GGA
Structure: optimized geometry

Cell: 6.7859 6.7859 6.6865 Å, 90.00 90.00 90.00°
Space group P4/mbm (No. 127)
Unique sites:
Cs1 0.1778 0.3222 0.0000 (multiplicity 4)
Si1 0.2355 0.7355 0.5000 (multiplicity 4)
Tc1 0.0000 0.0000 0.5000 (multiplicity 2)

## Properties
magnetization: 0.00 μB/cell
formation energy without anion corrections: 0.482 eV/atom

---

[2]
Compound: NiC2
Source: Alexandria via LeMat-Bulk
Functional: PBE-GGA
Structure: optimized geometry

Cell: 7.3892 2.8785 4.9783 Å, 90.00 103.11 90.00°
Space group C2/m (No. 12)
Unique sites:
Ni1 0.2465 0.0000 0.2480 (multiplicity 4)
C1 0.0913 0.0000 0.5216 (multiplicity 4)
C2 0.0925 0.5000 0.0389 (multiplicity 4)

## Properties
magnetization: 0.00 μB/cell
energy above the lowest structure with this stoichiometry: 568 meV per atom
DFT formation energy: 0.99 eV per atom

---

[3]
Compound: Y2MgP
Source: Alexandria via LeMat-Bulk
Functional: PBE-GGA
Structure: optimized geometry

Cell: 3.8498 5.4707 9.9019 Å, 90.00 90.00 90.00°
Space group Immm (No. 71)
Unique sites:
Y1 0.0000 0.0000 0.1983 (multiplicity 4)
Mg1 0.0000 0.5000 0.0000 (multiplicity 2)
P1 0.0000 0.5000 0.5000 (multiplicity 2)

## Properties
magnetization: 0.00 μB/cell
energy above the lowest structure with this stoichiometry: 302 meV per atom
DFT formation energy: -0.48 eV per atom

---

[4]
Compound: HgOs3Se
Source: Alexandria via LeMat-Bulk
Functional: PBE-GGA
Structure: optimized geometry

Cell: 5.0046 5.0046 5.0046 Å, 90.00 90.00 90.00°
Space group Pm-3m (No. 221)
Unique sites:
Hg1 0.0000 0.0000 0.0000 (multiplicity 1)
Os1 0.0000 0.0000 0.5000 (multiplicity 3)
Se1 0.5000 0.5000 0.5000 (multiplicity 1)

## Properties
magnetization: 7.82 μB/cell
formation energy without anion corrections: 3.266 eV/atom
energy above the lowest structure with this stoichiometry: 1500 meV per atom

---

[5]
Compound: HoTmAlAu
Source: Alexandria via LeMat-Bulk
Functional: PBE-GGA
Structure: optimized geometry

Cell: 7.1902 7.1902 7.1902 Å, 90.00 90.00 90.00°
Space group F-43m (No. 216)
Unique sites:
Ho1 0.0000 0.0000 0.0000 (multiplicity 4)
Tm1 0.0000 0.0000 0.5000 (multiplicity 4)
Al1 0.2500 0.2500 0.2500 (multiplicity 4)
Au1 0.2500 0.2500 0.7500 (multiplicity 4)

## Properties
magnetization: 0.00 μB/cell
energy above the lowest structure with this stoichiometry: 48 meV per atom
DFT formation energy: -0.58 eV per atom

---

[6]
Compound: Cs2NbCoBr6
Source: Alexandria via LeMat-Bulk
Functional: PBE-GGA
Structure: optimized geometry

Cell: 10.7519 10.7519 10.7519 Å, 90.00 90.00 90.00°
Space group Fm-3m (No. 225)
Unique sites:
Cs1 0.2500 0.2500 0.2500 (multiplicity 8)
Nb1 0.0000 0.0000 0.0000 (multiplicity 4)
Co1 0.0000 0.0000 0.5000 (multiplicity 4)
Br1 0.0000 0.0000 0.2509 (multiplicity 24)

## Properties
magnetization: 17.18 μB/cell
formation energy without anion corrections: -0.937 eV/atom